# 1
This record from the Alexandria database describes a relaxed BeAgRh2 crystal. The functional is PBE.

Computed properties:
SG: R-3m, No. 166
Energy relative to the elements, eV/f.u.: -0.380

```
4
Lattice="8.4045 0.0013 0.0008 7.9490 2.7291 0.0008 7.9490 1.3272 2.3846" Properties=species:S:1:pos:R:3 pbc="T T T"
Rh 11.7977 1.9697 1.1583
Rh 0.3536 0.0590 0.0347
Be 18.2269 3.0431 1.7896
Ag 6.0756 1.0144 0.5965
```

# 2
This record from the Alexandria database describes a relaxed RbTcTe2I crystal. The functional is PBE.

Computed properties:
SG: P4/mmm, No. 123
Energy relative to the lowest polymorph listed for this composition, meV per atom: 0

```
5
Lattice="5.2394 0.0000 0.0000 0.0000 5.2394 0.0000 0.0000 0.0000 6.1850" Properties=species:S:1:pos:R:3 pbc="T T T"
I 0.0000 0.0000 3.0925
Rb 2.6197 2.6197 3.0925
Te 0.0000 2.6197 0.0000
Te 2.6197 0.0000 0.0000
Tc 0.0000 0.0000 0.0000
```

# 3
This record from the Alexandria database describes a relaxed CuHPbF6 crystal. The functional is PBE.

Computed properties:
E, Ha/atom: -0.1565
SG: P1, No. 1

```
9
Lattice="5.8630 0.7315 -0.2512 3.6595 4.5696 -0.2592 -0.2744 -0.1103 5.0623" Properties=species:S:1:pos:R:3 pbc="T T T"
F 6.2212 2.4575 1.1675
F 3.5259 3.4245 1.5931
F 5.4753 2.1300 3.3391
F 3.1888 0.9901 0.8555
F 2.3073 0.4185 3.1218
F 2.6343 2.8560 3.8543
Cu 2.9120 1.9222 2.3551
H 5.8530 2.2971 2.2352
Pb 4.5986 4.1571 4.7480
```

# 4
This record from the Alexandria database describes a relaxed CoSn2Te2 crystal. The functional is PBE.

Computed properties:
SG: I4/mmm, No. 139
Energy relative to the lowest polymorph listed for this composition, meV per atom: 406

```
5
Lattice="-1.4358 3.5789 -1.2994 -1.9996 0.4731 3.5123 5.4022 6.1522 4.6042" Properties=species:S:1:pos:R:3 pbc="T T T"
Te 0.8424 4.3256 4.6115
Te 1.1244 5.8786 2.2056
Sn -0.5620 2.6957 1.6742
Sn 2.5288 7.5085 5.1429
Co 0.0000 0.0000 0.0000
```

# 5
This record from the Alexandria database describes a relaxed WBrCl2 crystal. The functional is PBE.

Computed properties:
SG: Fm-3m, No. 225
Energy relative to the lowest polymorph listed for this composition, meV per atom: 1325

```
4
Lattice="-2.1823 0.9151 4.2113 -4.4178 1.9532 0.0568 -3.7953 -2.6509 1.3798" Properties=species:S:1:pos:R:3 pbc="T T T"
Br 0.0000 0.0000 0.0000
Cl -7.7966 0.1631 4.2359
Cl -2.5989 0.0544 1.4120
W -5.1977 0.1087 2.8240
```

# 6
This record from the Alexandria database describes a relaxed YMn2Al2 crystal. The functional is PBE.

Computed properties:
SG: I4/mmm, No. 139
Energy relative to the elements, eV/f.u.: -0.660
Energy relative to the lowest polymorph listed for this composition, meV per atom: 0

```
5
Lattice="-3.9199 -0.8079 -0.0011 0.7786 -3.7762 -1.0735 -1.2666 -3.7745 4.8978" Properties=species:S:1:pos:R:3 pbc="T T T"
Mn -1.0293 -4.9214 1.6435
Mn -3.3786 -3.4373 2.1797
Al -1.4999 -2.6372 0.7279
Al -2.9080 -5.7215 3.0953
Y 0.0000 0.0000 0.0000
```

# 7
This record from the Alexandria database describes a relaxed YZn2Br crystal. The functional is PBE.

Computed properties:
SG: I4/mmm, No. 139
Energy relative to the lowest polymorph listed for this composition, meV per atom: 115

```
4
Lattice="6.1530 0.0113 0.0000 3.5244 5.0437 0.0000 -4.8387 -2.5275 2.8387" Properties=species:S:1:pos:R:3 pbc="T T T"
Zn 0.0000 0.0000 0.0000
Zn 4.8387 2.5275 0.0000
Br 1.7622 2.5218 1.4194
Y 3.0765 0.0057 1.4194
```

# 8
This record from the Alexandria database describes a relaxed LiSmScRh crystal. The functional is PBE.

Computed properties:
SG: F-43m, No. 216
Energy relative to the elements, eV/f.u.: -1.752

```
4
Lattice="-1.5444 4.2668 -1.7090 -1.0099 0.5007 -4.7160 -4.5976 0.5086 -1.4541" Properties=species:S:1:pos:R:3 pbc="T T T"
Sm -5.3640 3.9570 -5.9094
Sc -1.7880 1.3190 -1.9698
Li 0.0000 0.0000 0.0000
Rh -3.5760 2.6380 -3.9396
```